# 1
15
Lattice="7.457 0.000 3.367 3.728 8.081 1.683 0.402 0.000 9.049" Properties=species:S:1:pos:R:3 comment="La10Dy4Th (PBE-GGA, relaxed)" sg=I4/mmm dos_at_fermi_per_ev_fu=22.519 dft_energy_ev_per_atom=-4.810 pbc="T T T"
La 3.930 4.041 6.208
La 6.383 1.744 9.837
La 1.476 1.743 2.580
La 7.042 6.338 10.133
La 8.274 6.337 5.649
La 5.204 6.337 4.263
La 7.658 4.041 7.891
La 3.313 1.744 8.450
La 4.545 1.743 3.966
La 10.112 6.338 11.519
Dy 1.888 0.002 5.760
Dy 7.456 3.609 3.369
Dy 4.131 4.473 10.731
Dy 9.700 8.080 8.340
Th 0.000 0.000 0.000

# 2
12
Lattice="5.649 0.000 0.000 0.000 6.197 0.000 0.000 -3.098 6.253" Properties=species:S:1:pos:R:3 comment="HoAlZn3Cu (PBE-GGA, relaxed)" sg=Cmcm dos_at_fermi_per_ev_fu=1.906 dft_energy_ev_per_atom=-2.745 pbc="T T T"
Ho 4.237 0.000 3.763
Ho 1.412 3.098 2.490
Al 1.412 3.098 5.339
Al 4.237 0.000 0.914
Zn 1.412 0.000 1.797
Zn 0.000 1.885 0.000
Zn 2.825 4.312 0.000
Zn 2.825 1.885 0.000
Zn 0.000 4.312 0.000
Zn 4.237 3.098 4.456
Cu 1.412 0.000 4.371
Cu 4.237 3.098 1.882

# 3
4
Lattice="5.451 0.000 0.000 0.000 3.551 0.020 0.000 1.728 6.543" Properties=species:S:1:pos:R:3 comment="TePb3 (PBE-GGA, relaxed)" raw_formation_energy_ev_per_atom=0.001 sg=P2/m relative_energy_mev_per_atom=66 dos_at_fermi_per_ev_fu=2.510 pbc="T T T"
Pb 0.000 0.265 0.067
Pb 2.726 3.959 4.922
Pb 0.000 2.374 3.215
Te 2.726 1.320 1.641

# 4
4
Lattice="5.141 0.000 0.000 2.570 4.452 0.000 2.570 1.484 4.197" Properties=species:S:1:pos:R:3 comment="EuPuPdAu (PBE-GGA, relaxed)" sg=F-43m dos_at_fermi_per_ev_fu=24.927 dft_energy_ev_per_atom=-8.762 pbc="T T T"
Eu 2.570 1.484 1.049
Au 0.000 0.000 0.000
Pd 5.141 2.968 2.099
Pu 7.711 4.452 3.148

# 5
8
Lattice="9.883 0.000 0.000 0.000 9.883 0.000 4.942 4.942 5.446" Properties=species:S:1:pos:R:3 comment="Cs2SnBr (PBE-GGA, relaxed)" raw_formation_energy_ev_per_atom=-0.553 sg=I-42d relative_energy_mev_per_atom=21 dos_at_fermi_per_ev_fu=0.000 pbc="T T T"
Cs 7.043 2.471 1.361
Cs 2.841 7.413 1.361
Cs 7.413 7.783 4.084
Cs 12.354 11.984 4.084
Sn 0.000 0.000 0.000
Sn 9.883 4.942 2.723
Br 4.942 4.942 0.000
Br 4.942 9.883 2.723

# 6
8
Lattice="6.908 0.476 0.686 -2.909 6.283 -0.686 -2.909 -2.841 5.646" Properties=species:S:1:pos:R:3 comment="K2RbMnS4 (PBE-GGA, relaxed)" raw_formation_energy_ev_per_atom=-0.867 sg=I-42m pbc="T T T"
K 0.545 4.240 1.240
K 0.545 -0.322 4.406
Rb 0.000 0.000 0.000
Mn -2.909 1.721 2.480
S -2.083 -0.209 2.776
S 1.909 1.991 2.870
S -2.471 2.904 4.185
S -2.083 2.674 0.775